Material: InAsP2
Method: DFT, PBE-GGA
State: optimized geometry

**Calculated volume**: 83 Å³/cell
**Space-group type**: P2/m (10)
**ΔH_f (0 K)**: 0.064 eV per atom
**Total magnetic moment**: 0.0 μB/cell
**Energy relative to the lowest polymorph listed for this composition**: 0.000 eV/atom
**Energy**: -17.95 eV/cell

a = 4.7243 Å, b = 3.7660 Å, c = 4.9099 Å
α = 90.00°, β = 107.20°, γ = 90.00°
Last column: nearest neighbours and their distance in Å.
Fractional coordinates of all 4 atoms:
1 In 0.0000 0.0000 0.0000  4 P 2.81, 2 As 2.86
2 As 0.5000 0.0000 0.5000  4 P 2.64, 2 In 2.86
3 P 0.2042 0.5000 0.6761  1 P 2.18
4 P 0.7958 0.5000 0.3239  1 P 2.18



Material: K2SmTcO6
Method: DFT, PBE-GGA
State: optimized geometry

**Calculated volume**: 202 Å³/cell
**Space-group type**: P-3m1 (164)
**Formation energy without anion corrections**: -1840 meV/atom
**Total magnetic moment**: 0.0 μB/cell
**Energy**: -65.43 eV/cell

a = 6.2861 Å, b = 6.2861 Å, c = 5.9113 Å
α = 90.00°, β = 90.00°, γ = 120.00°
Last column: nearest neighbours and their distance in Å.
Fractional coordinates of all 10 atoms:
1 K 0.3333 0.6667 0.0875  3 O 2.70
2 K 0.6667 0.3333 0.9125  3 O 2.70
3 Sm 0.0000 0.0000 0.5000  6 O 2.34
4 Tc 0.0000 0.0000 0.0000  6 O 1.91
5 O 0.1393 0.2786 0.8024  1 Tc 1.91
6 O 0.1393 0.8607 0.8024  1 Tc 1.91
7 O 0.2786 0.1393 0.1976  1 Tc 1.91
8 O 0.7214 0.8607 0.8024  1 Tc 1.91
9 O 0.8607 0.1393 0.1976  1 Tc 1.91
10 O 0.8607 0.7214 0.1976  1 Tc 1.91